# 1
## NaBeIrI2 (PBE)

Data for an optimized crystal structure of NaBeIrI2.

```
NaBeIrI2
1.0
5.346 0.000 0.000
0.000 5.346 0.000
0.000 0.000 5.593
Na Be Ir I
1 1 1 2
Cartesian
0.000 0.000 0.000
2.673 2.673 0.000
0.000 0.000 2.797
0.000 2.673 2.797
2.673 0.000 2.797
```


# 2
## Fe5H12Pd3 (PBE)

Data for an optimized crystal structure of Fe5H12Pd3.

```
Fe5H12Pd3
1.0
-5.280 5.280 5.280
5.280 -5.280 5.280
5.280 5.280 -5.280
Fe H Pd
20 48 12
Cartesian
0.000 0.000 0.000
2.640 2.640 -2.640
2.640 -2.640 2.640
5.280 0.000 0.000
7.920 1.320 0.000
5.280 -2.640 3.960
3.960 5.280 -2.640
3.960 0.000 2.640
2.640 3.960 0.000
5.280 2.640 1.320
-2.640 2.640 2.640
0.000 5.280 0.000
0.000 0.000 5.280
2.640 2.640 2.640
0.000 2.640 3.960
2.640 1.320 5.280
1.320 5.280 2.640
1.320 0.000 7.920
0.000 7.920 1.320
-2.640 3.960 5.280
1.545 -0.202 0.653
6.374 3.293 -2.842
6.825 0.202 0.653
6.374 -1.987 2.842
5.078 -0.653 1.545
8.122 -1.095 1.987
0.653 1.545 -0.202
7.267 2.438 -1.095
3.293 2.842 -1.095
4.627 1.545 0.202
-0.202 0.653 1.545
2.842 -1.095 3.293
5.078 4.627 -1.545
2.842 1.095 1.987
3.293 -2.842 6.374
4.627 -1.545 5.078
1.987 2.842 1.095
5.933 3.734 0.202
2.842 6.374 -1.987
5.078 0.653 3.734
1.545 5.078 -0.653
6.374 1.987 2.438
1.095 1.987 2.842
1.545 0.202 4.627
3.734 5.078 0.653
4.185 3.293 2.438
-1.095 3.293 2.842
3.734 0.202 5.933
0.202 4.627 1.545
2.438 -1.095 7.267
-0.653 1.545 5.078
3.293 2.438 4.185
0.653 6.825 0.202
1.987 8.122 -1.095
2.438 4.185 3.293
0.202 0.653 6.825
2.438 6.374 1.987
5.482 4.627 3.734
0.653 3.734 5.078
1.987 2.438 6.374
-1.987 2.842 6.374
4.627 3.734 5.482
-2.842 6.374 3.293
0.202 5.933 3.734
-1.095 7.267 2.438
-1.545 5.078 4.627
-1.095 1.987 8.122
3.734 5.482 4.627
2.640 1.320 0.000
5.280 2.640 -1.320
1.320 0.000 2.640
6.600 0.000 2.640
0.000 2.640 1.320
2.640 -1.320 5.280
2.640 6.600 0.000
5.280 2.640 3.960
-1.320 5.280 2.640
3.960 5.280 2.640
0.000 2.640 6.600
2.640 3.960 5.280
```


# 3
## CaV2Ga (PBE)

Data for an optimized crystal structure of CaV2Ga.

```
CaV2Ga
1.0
-2.127 2.127 9.592
2.127 -2.127 9.592
2.127 2.127 -9.592
Ca V Ga
2 4 2
Cartesian
0.000 0.000 0.000
0.000 2.127 4.796
1.064 2.060 -2.398
2.195 1.064 2.398
1.064 0.067 7.194
-0.067 1.064 11.990
2.127 0.000 4.796
0.000 0.000 9.592
```

Results
As for the formation energy: 200 kJ/mol of formula units.


Number 1: DFT total energy -2.626 eV/atom, Fermi-level density of states 5.42 states/eV/f.u.. Number 2: DFT total energy -4.727 eV/atom, Fermi-level density of states 8.45 states/eV/f.u.. Number 3: DFT total energy -5.298 eV/atom, Fermi-level density of states 3.19 states/eV/f.u..